DFT (PBE) results for a relaxed structure of ZrCd6Hg2.

Results
Energy relative to the elements: -0.009 eV per atom
Raw total energy: -1.636 eV per atom

a b c (Å): 6.856 6.856 7.187
angles (deg): 105.69 105.69 38.23
Atoms (fractional coordinates):
Zr (0.000, 0.000, 0.000)
Cd (0.107, 0.107, 0.659)
Cd (0.220, 0.220, 0.339)
Cd (0.325, 0.325, 0.999)
Cd (0.675, 0.675, 0.001)
Cd (0.780, 0.780, 0.661)
Cd (0.893, 0.893, 0.341)
Hg (0.447, 0.447, 0.690)
Hg (0.553, 0.553, 0.310)